(1)
## MgNiBr2 (GGA-PBE)

Data for a relaxed MgNiBr2 crystal.

POSCAR file:
```
MgNiBr2
1.0
6.6882 0.0431 0.0000
4.5490 4.9031 0.0000
-5.6186 -2.4731 2.6550
Br Ni Mg
2 1 1
direct
0.2500 0.7500 0.5000
0.0000 0.0000 0.0000
0.7500 0.2500 0.5000
0.5000 0.5000 0.0000
```

- Uncorrected energy: -11.114 eV per formula unit
- Polymorph energy (0 for the lowest one): 457 meV/atom
- Total magnetic moment: 0.0 μB/f.u.
- Raw formation energy: -0.098 eV per atom
- Space group: I-4m2 (119)

(2)
## MgNiBr4 (GGA-PBE)

Data for a relaxed MgNiBr4 crystal.

POSCAR file:
```
MgNiBr4
1.0
-1.6913 2.4706 2.2946
-6.1209 -1.5905 -2.7991
-1.0666 -4.7703 4.3500
Br Mg Ni
4 1 1
direct
0.0000 0.2159 0.3127
0.5000 0.2071 0.8367
0.0000 0.7841 0.6873
0.5000 0.7929 0.1633
0.5000 0.0000 0.5000
0.0000 0.0000 0.0000
```

- Uncorrected energy: -19.446 eV per formula unit
- Polymorph energy (0 for the lowest one): 0 meV/atom
- Total magnetic moment: 2.0 μB/f.u.
- Raw formation energy: -0.896 eV per atom
- Space group: P2/m (10)

(3)
## MgNiBr2 (GGA-PBE)

Data for a relaxed MgNiBr2 crystal.

POSCAR file:
```
MgNiBr2
1.0
3.5763 0.0000 0.0000
0.0000 3.5763 0.0000
0.0000 0.0000 7.1024
Mg Br Ni
1 2 1
direct
0.0000 0.0000 0.5479
0.5000 0.5000 0.3611
0.0000 0.0000 0.9034
0.5000 0.5000 0.6876
```

- Uncorrected energy: -12.248 eV per formula unit
- Polymorph energy (0 for the lowest one): 174 meV/atom
- Total magnetic moment: 0.1 μB/f.u.
- Raw formation energy: -0.382 eV per atom
- Space group: P4mm (99)

(4)
## Mg2NiBr (GGA-PBE)

Data for a relaxed Mg2NiBr crystal.

POSCAR file:
```
Mg2NiBr
1.0
6.1231 0.0162 0.0000
3.7249 4.8599 0.0000
-4.9240 -2.4381 2.7025
Mg Ni Br
2 1 1
direct
0.0000 0.0000 0.0000
0.2500 0.7500 0.5000
0.5000 0.5000 0.0000
0.7500 0.2500 0.5000
```

- Uncorrected energy: -10.504 eV per formula unit
- Polymorph energy (0 for the lowest one): 390 meV/atom
- Total magnetic moment: 0.0 μB/f.u.
- Raw formation energy: 0.035 eV per atom
- Space group: I-4m2 (119)

(5)
## Mg2NiBr (GGA-PBE)

Data for a relaxed Mg2NiBr crystal.

POSCAR file:
```
Mg2NiBr
1.0
-1.7203 -1.0859 -6.7339
-5.9810 -3.0985 2.0276
-5.5213 1.0775 -2.4375
Mg Ni Br
4 2 2
direct
0.3750 0.3998 0.7500
0.8750 0.8502 0.7500
0.1498 0.6250 0.2500
0.6002 0.1250 0.2500
0.2500 0.7500 0.5000
0.5000 0.5000 0.0000
0.0000 0.0000 0.0000
0.7500 0.2500 0.5000
```

- Uncorrected energy: -10.651 eV per formula unit
- Polymorph energy (0 for the lowest one): 354 meV/atom
- Total magnetic moment: 0.0 μB/f.u.
- Raw formation energy: -0.002 eV per atom
- Space group: I-42d (122)

(6)
## Mg2NiBr (GGA-PBE)

Data for a relaxed Mg2NiBr crystal.

POSCAR file:
```
Mg2NiBr
1.0
0.0000 3.3872 3.3872
3.3872 0.0000 3.3872
3.3872 3.3872 0.0000
Ni Mg Br
1 2 1
direct
0.0000 0.0000 0.0000
0.2500 0.2500 0.2500
0.7500 0.7500 0.7500
0.5000 0.5000 0.5000
```

- Uncorrected energy: -10.158 eV per formula unit
- Polymorph energy (0 for the lowest one): 477 meV/atom
- Total magnetic moment: 0.0 μB/f.u.
- Raw formation energy: 0.121 eV per atom
- Space group: Fm-3m (225)

(7)
## Mg2NiBr (GGA-PBE)

Data for a relaxed Mg2NiBr crystal.

POSCAR file:
```
Mg2NiBr
1.0
-3.1627 -0.9607 -1.3767
1.6358 -2.3287 -2.1327
-0.6605 -5.1365 5.1019
Ni Br Mg
1 1 2
direct
0.0000 0.0000 0.3471
0.5000 0.5000 0.8270
0.5000 0.5000 0.3135
0.0000 0.0000 0.0124
```

- Uncorrected energy: -11.343 eV per formula unit
- Polymorph energy (0 for the lowest one): 180 meV/atom
- Total magnetic moment: 0.0 μB/f.u.
- Raw formation energy: -0.175 eV per atom
- Space group: Pmm2 (25)

(8)
## MgNiBr2 (GGA-PBE)

Data for a relaxed MgNiBr2 crystal.

POSCAR file:
```
MgNiBr2
1.0
-3.4120 -0.5960 -1.9104
3.3099 -2.0804 -0.6027
-2.0940 -4.8538 5.2542
Br Mg Ni
2 1 1
direct
0.0000 0.0000 0.9749
0.0000 0.0000 0.5251
0.5000 0.5000 0.2500
0.5000 0.5000 0.7500
```

- Uncorrected energy: -11.290 eV per formula unit
- Polymorph energy (0 for the lowest one): 413 meV/atom
- Total magnetic moment: 0.3 μB/f.u.
- Raw formation energy: -0.142 eV per atom
- Space group: Cmmm (65)

(9)
## MgNi4Br (GGA-PBE)

Data for a relaxed MgNi4Br crystal.

POSCAR file:
```
MgNi4Br
1.0
0.0000 3.4828 3.4828
3.4828 0.0000 3.4828
3.4828 3.4828 0.0000
Ni Mg Br
4 1 1
direct
0.8785 0.3738 0.3738
0.3738 0.3738 0.3738
0.3738 0.8785 0.3738
0.3738 0.3738 0.8785
0.0000 0.0000 0.0000
0.7500 0.7500 0.7500
```

- Uncorrected energy: -24.731 eV per formula unit
- Total magnetic moment: 2.0 μB/f.u.
- Raw formation energy: 0.277 eV per atom
- Space group: F-43m (216)

(10)
## Mg3NiBr (GGA-PBE)

Data for a relaxed Mg3NiBr crystal.

POSCAR file:
```
Mg3NiBr
1.0
-3.9118 1.6434 -2.6897
-2.1394 -4.5325 0.3420
-2.3148 1.4118 4.2292
Br Ni Mg
1 1 3
direct
0.0000 0.0000 0.0000
0.5000 0.5000 0.5000
0.5000 0.0000 0.0000
0.0000 0.5000 0.0000
0.0000 0.0000 0.5000
```

- Uncorrected energy: -8.719 eV per formula unit
- Polymorph energy (0 for the lowest one): 784 meV/atom
- Total magnetic moment: 0.0 μB/f.u.
- Raw formation energy: 0.704 eV per atom
- Space group: Pm-3m (221)

(11)
## Mg2NiBr2 (GGA-PBE)

Data for a relaxed Mg2NiBr2 crystal.

POSCAR file:
```
Mg2NiBr2
1.0
-4.4782 1.1146 -3.2890
-3.4448 -0.7461 4.4375
-3.6687 3.8498 1.4179
Mg Br Ni
2 2 1
direct
0.2500 0.7500 0.5000
0.7500 0.2500 0.5000
0.2957 0.2957 0.4086
0.7043 0.7043 0.5914
0.0000 0.0000 0.0000
```

- Uncorrected energy: -12.708 eV per formula unit
- Polymorph energy (0 for the lowest one): 0 meV/atom
- Total magnetic moment: 0.0 μB/f.u.
- Raw formation energy: -0.078 eV per atom
- Space group: I4/mmm (139)

(12)
## Mg2NiBr (GGA-PBE)

Data for a relaxed Mg2NiBr crystal.

POSCAR file:
```
Mg2NiBr
1.0
-4.6096 -0.2878 -3.0043
1.6438 -3.4737 -3.9483
-1.1784 0.4990 5.3591
Br Mg Ni
1 2 1
direct
0.2500 0.7500 0.5000
0.9873 0.9873 0.0000
0.5127 0.5127 0.0000
0.7500 0.2500 0.5000
```

- Uncorrected energy: -10.434 eV per formula unit
- Polymorph energy (0 for the lowest one): 408 meV/atom
- Total magnetic moment: 0.2 μB/f.u.
- Raw formation energy: 0.052 eV per atom
- Space group: Immm (71)